Record 1
VASP calculation (PBE-GGA) on a relaxed Ta2Be2VFe5 crystal.

```
20
Lattice="8.734 0.000 0.000 0.000 8.734 0.000 0.000 0.000 2.983" Properties=species:S:1:pos:R:3 pbc="T T T"
Ta 1.525 2.842 0.000
Ta 2.842 7.209 0.000
Ta 5.892 1.525 0.000
Ta 7.209 5.892 0.000
Be 1.063 5.430 0.000
Be 3.304 1.063 0.000
Be 5.430 7.671 0.000
Be 7.671 3.304 0.000
V 0.000 0.000 0.000
V 4.367 4.367 0.000
Fe 0.000 4.367 1.491
Fe 0.589 6.909 1.491
Fe 1.825 0.589 1.491
Fe 2.542 4.956 1.491
Fe 3.778 2.542 1.491
Fe 4.367 0.000 1.491
Fe 4.956 6.192 1.491
Fe 6.192 3.778 1.491
Fe 6.909 8.145 1.491
Fe 8.145 1.825 1.491
```

N(E_F) in states/eV per cell: 15.7
M_tot in μB per cell: 0.00
Final energy in eV per atom: -8.51
ρ in g/cm³: 10.4
E_form in kJ per mole of atoms: -24.1

Record 2
VASP calculation (PBE-GGA) on a relaxed CaCuIr2 crystal.

```
4
Lattice="2.921 0.000 0.000 0.000 4.640 0.000 0.000 0.000 4.739" Properties=species:S:1:pos:R:3 pbc="T T T"
Ca 0.000 0.000 0.000
Cu 1.460 0.000 2.370
Ir 0.000 2.320 2.370
Ir 1.460 2.320 0.000
```

N(E_F) in states/eV per cell: 3.9
M_tot in μB per cell: 0.00
Final energy in eV per atom: -5.87
ρ in g/cm³: 12.6
E_form in kJ per mole of atoms: 8.3

Record 3
VASP calculation (PBE-GGA) on a relaxed Li4PrMg5 crystal.

```
10
Lattice="3.503 0.000 0.000 0.000 3.503 0.000 0.000 0.000 18.153" Properties=species:S:1:pos:R:3 pbc="T T T"
Li 0.000 0.000 1.646
Li 0.000 0.000 4.990
Li 0.000 0.000 13.163
Li 0.000 0.000 16.508
Pr 0.000 0.000 9.077
Mg 1.751 1.751 0.000
Mg 1.751 1.751 3.304
Mg 1.751 1.751 6.650
Mg 1.751 1.751 11.504
Mg 1.751 1.751 14.849
```

N(E_F) in states/eV per cell: 6.8
M_tot in μB per cell: 0.01
Final energy in eV per atom: -2.10
ρ in g/cm³: 2.2
E_form in kJ per mole of atoms: -5.3

Record 4
VASP calculation (PBE-GGA) on a relaxed CaPaHgPd crystal.

```
16
Lattice="7.274 0.000 0.000 0.000 7.274 0.000 0.000 0.000 7.274" Properties=species:S:1:pos:R:3 pbc="T T T"
Ca 0.000 0.000 0.000
Ca 0.000 3.637 3.637
Ca 3.637 0.000 3.637
Ca 3.637 3.637 0.000
Pa 0.000 0.000 3.637
Pa 0.000 3.637 0.000
Pa 3.637 0.000 0.000
Pa 3.637 3.637 3.637
Hg 1.819 1.819 5.456
Hg 1.819 5.456 1.819
Hg 5.456 1.819 1.819
Hg 5.456 5.456 5.456
Pd 1.819 1.819 1.819
Pd 1.819 5.456 5.456
Pd 5.456 1.819 5.456
Pd 5.456 5.456 1.819
```

N(E_F) in states/eV per cell: 26.8
M_tot in μB per cell: 3.63
Final energy in eV per atom: -4.44
ρ in g/cm³: 10.0
E_form in kJ per mole of atoms: -18.8